Model P:
# ZrFeSN2

Crystalline ZrFeSN2 at its relaxed geometry (GGA-PBE, Alexandria via LeMat-Bulk).

Computed properties:
Its spin magnetization is 4.84 Bohr magnetons per cell. For the theoretical density, the calculation gives 3.9 g cm⁻³.

a b c (Å): 4.087 4.087 5.297
angles (deg): 90.00 90.00 90.00
Space group P4/mmm (No. 123)
Symmetry-distinct sites (fractional):
Zr (0.000, 0.000, 0.000) (multiplicity 1)
Fe (0.500, 0.500, 0.500) (multiplicity 1)
S (0.000, 0.000, 0.500) (multiplicity 1)
N (0.000, 0.500, 0.000) (multiplicity 2)



Model Q:
# ZrFeSN2

Crystalline ZrFeSN2 at its relaxed geometry (GGA-PBE, Alexandria via LeMat-Bulk).

Computed properties:
Its spin magnetization is 1.96 Bohr magnetons per cell. For the theoretical density, the calculation gives 5.6 g cm⁻³.

a b c (Å): 3.721 3.721 4.451
angles (deg): 90.00 90.00 90.00
Space group P4/mmm (No. 123)
Symmetry-distinct sites (fractional):
Zr (0.000, 0.000, 0.000) (multiplicity 1)
Fe (0.500, 0.500, 0.500) (multiplicity 1)
S (0.500, 0.500, 0.000) (multiplicity 1)
N (0.000, 0.500, 0.500) (multiplicity 2)



Stability check: which of them is least stable? model P.



Model P:
# FeSbSeN2

Crystalline FeSbSeN2 at its relaxed geometry (GGA-PBE, Alexandria via LeMat-Bulk).

Computed properties:
Its spin magnetization is 4.88 Bohr magnetons per cell. For the theoretical density, the calculation gives 5.3 g cm⁻³.

a b c (Å): 3.961 3.961 5.718
angles (deg): 90.00 90.00 90.00
Space group P4/mmm (No. 123)
Symmetry-distinct sites (fractional):
Fe (0.000, 0.000, 0.000) (multiplicity 1)
Sb (0.500, 0.500, 0.500) (multiplicity 1)
Se (0.500, 0.500, 0.000) (multiplicity 1)
N (0.000, 0.500, 0.500) (multiplicity 2)



Model Q:
# FeSbSeN2

Crystalline FeSbSeN2 at its relaxed geometry (GGA-PBE, Alexandria via LeMat-Bulk).

Computed properties:
Its spin magnetization is 0.19 Bohr magnetons per cell. For the theoretical density, the calculation gives 6.5 g cm⁻³.

a b c (Å): 3.809 3.809 4.983
angles (deg): 90.00 90.00 90.00
Space group P4/mmm (No. 123)
Symmetry-distinct sites (fractional):
Fe (0.000, 0.000, 0.000) (multiplicity 1)
Sb (0.500, 0.500, 0.500) (multiplicity 1)
Se (0.000, 0.000, 0.500) (multiplicity 1)
N (0.000, 0.500, 0.000) (multiplicity 2)



Stability check: which of them is least stable? model P.



Model P:
# FeSbTeN2

Crystalline FeSbTeN2 at its relaxed geometry (GGA-PBE, Alexandria via LeMat-Bulk).

Computed properties:
Its spin magnetization is 4.02 Bohr magnetons per cell. For the theoretical density, the calculation gives 5.7 g cm⁻³.

a b c (Å): 3.888 3.888 6.460
angles (deg): 90.00 90.00 90.00
Space group P4/mmm (No. 123)
Symmetry-distinct sites (fractional):
Fe (0.000, 0.000, 0.000) (multiplicity 1)
Sb (0.500, 0.500, 0.500) (multiplicity 1)
Te (0.500, 0.500, 0.000) (multiplicity 1)
N (0.000, 0.500, 0.500) (multiplicity 2)



Model Q:
# FeSbTeN2

Crystalline FeSbTeN2 at its relaxed geometry (GGA-PBE, Alexandria via LeMat-Bulk).

Computed properties:
Its spin magnetization is 0.09 Bohr magnetons per cell. For the theoretical density, the calculation gives 6.8 g cm⁻³.

a b c (Å): 3.942 3.942 5.235
angles (deg): 90.00 90.00 90.00
Space group P4/mmm (No. 123)
Symmetry-distinct sites (fractional):
Fe (0.000, 0.000, 0.000) (multiplicity 1)
Sb (0.500, 0.500, 0.500) (multiplicity 1)
Te (0.000, 0.000, 0.500) (multiplicity 1)
N (0.000, 0.500, 0.000) (multiplicity 2)



Stability check: which of them is least stable? model P.